Material: RbCa2Zn
Method: DFT, PBE-GGA
State: optimized geometry

Computed properties:
energy of formation: 0.084 eV per atom

abc: 4.2715 4.2715 12.1348
angles: 79.86 79.86 60.00
With the nearest neighbours (Å) after each atom.
Element x y z (fractional)
Zn  0.5000  0.5000  0.5000  6 Ca 3.02
Ca  0.1178  0.1178  0.6465  3 Zn 3.02
Ca  0.8822  0.8822  0.3535  3 Zn 3.02
Rb  0.0000  0.0000  0.0000  2 Ca 4.20, 6 Rb 4.27